## one
VASP calculation (PBE-GGA) on crystalline Tb6Cd2Hg at its relaxed geometry.

The space group is Immm (No. 71) and the conventional cell measures 5.135, 7.286 and 15.438 Å, with angles of 90.00, 90.00 and 90.00 degrees. The distinct sites, in fractional coordinates, are Tb at (0.000, 0.247, 0.000), Tb at (0.000, 0.252, 0.334), Cd at (0.000, 0.500, 0.166) and Hg at (0.000, 0.500, 0.500).

## two
VASP calculation (PBE-GGA) on crystalline Tb6Cd2Hg at its relaxed geometry.

The space group is P-3m1 (No. 164) and the conventional cell measures 5.3680, 5.3680 and 10.1356 Å, with angles of 90.00, 90.00 and 120.00 degrees. The distinct sites, in fractional coordinates, are Tb at (0.0000, 0.0000, 0.1767), Tb at (0.3333, 0.6667, 0.0236), Tb at (0.3333, 0.6667, 0.3902), Cd at (0.3333, 0.6667, 0.7152) and Hg at (0.0000, 0.0000, 0.5000).

Energetically preferred structure: two | next structure: +0.252 eV/atom

## one
VASP calculation (PBE-GGA) on crystalline Tb3CdHg3 at its relaxed geometry.

The space group is P6_3/m (No. 176) and the conventional cell measures 9.0733, 9.0733 and 5.2063 Å, with angles of 90.00, 90.00 and 120.00 degrees. The distinct sites, in fractional coordinates, are Tb at (0.0993, 0.6522, 0.2500), Cd at (0.3333, 0.6667, 0.7500) and Hg at (0.0410, 0.7939, 0.7500).

## two
VASP calculation (PBE-GGA) on crystalline Tb3CdHg3 at its relaxed geometry.

The space group is C2/m (No. 12) and the conventional cell measures 10.109, 10.202 and 7.333 Å, with angles of 90.00, 90.33 and 90.00 degrees. The distinct sites, in fractional coordinates, are Tb at (0.062, 0.000, 0.248), Tb at (0.248, 0.204, 0.751), Cd at (0.146, 0.500, 0.942), Hg at (0.000, 0.242, 0.000), Hg at (0.000, 0.243, 0.500) and Hg at (0.165, 0.500, 0.543).

Energetically preferred structure: two | next structure: +0.034 eV/atom

## one
VASP calculation (PBE-GGA) on crystalline TbCd4Hg at its relaxed geometry.

The space group is F-43m (No. 216) and the conventional cell measures 8.362, 8.362 and 8.362 Å, with angles of 90.00, 90.00 and 90.00 degrees. The distinct sites, in fractional coordinates, are Tb at (0.000, 0.000, 0.000), Cd at (0.126, 0.126, 0.626) and Hg at (0.250, 0.250, 0.250).

## two
VASP calculation (PBE-GGA) on crystalline TbCd4Hg at its relaxed geometry.

The space group is P-1 (No. 2) and the conventional cell measures 5.015, 5.093 and 6.475 Å, with angles of 96.51, 90.53 and 119.35 degrees. The distinct sites, in fractional coordinates, are Tb at (0.000, 0.000, 0.000), Cd at (0.312, 0.630, 0.754), Cd at (0.358, 0.713, 0.249) and Hg at (0.000, 0.000, 0.500).

Energetically preferred structure: two | next structure: +0.135 eV/atom